1.
Compound: B2OsW2
Source: Alexandria
Functional: PBE-GGA
Structure: relaxed

Results
* symmetry: Pnnm (58)

Lattice parameters (Å, degrees): 7.6125 9.6796 3.0930 90.00 90.00 90.00
Fractional positions:
B  0.1146  0.0396  0.0000
B  0.1239  0.2320  0.0000
B  0.3761  0.7320  0.5000
B  0.3854  0.5396  0.5000
B  0.6146  0.4604  0.5000
B  0.6239  0.2680  0.5000
B  0.8761  0.7680  0.0000
B  0.8854  0.9604  0.0000
Os  0.1181  0.3925  0.5000
Os  0.3819  0.8925  0.0000
Os  0.6181  0.1075  0.0000
Os  0.8819  0.6075  0.5000
W  0.0746  0.8601  0.5000
W  0.1931  0.6305  0.0000
W  0.3069  0.1305  0.5000
W  0.4254  0.3601  0.0000
W  0.5746  0.6399  0.0000
W  0.6931  0.8695  0.5000
W  0.8069  0.3695  0.0000
W  0.9254  0.1399  0.5000

2.
Compound: B2OsW
Source: Alexandria
Functional: PBE-GGA
Structure: relaxed

Results
* symmetry: I-42d (122)

Lattice parameters (Å, degrees): 6.0541 6.0541 6.0541 134.99 134.99 65.54
Fractional positions:
B  0.1021  0.6250  0.9771
B  0.3750  0.3521  0.4771
B  0.6479  0.1250  0.0229
B  0.8750  0.8979  0.5229
Os  0.0000  0.0000  0.0000
Os  0.7500  0.2500  0.5000
W  0.2500  0.7500  0.5000
W  0.5000  0.5000  0.0000

3.
Compound: B2OsW
Source: Alexandria
Functional: PBE-GGA
Structure: relaxed

Results
* symmetry: Fm-3m (225)

Lattice parameters (Å, degrees): 3.9134 3.9134 3.9134 60.00 60.00 60.00
Fractional positions:
B  0.2500  0.2500  0.2500
B  0.7500  0.7500  0.7500
Os  0.0000  0.0000  0.0000
W  0.5000  0.5000  0.5000

4.
Compound: BOsW
Source: Alexandria
Functional: PBE-GGA
Structure: relaxed

Results
* symmetry: C2/m (12)

Lattice parameters (Å, degrees): 5.7014 5.7014 4.5547 101.79 101.79 29.68
Fractional positions:
B  0.2322  0.2322  0.3804
B  0.7678  0.7678  0.6196
Os  0.4262  0.4262  0.7149
Os  0.5738  0.5738  0.2851
W  0.1447  0.1447  0.8227
W  0.8553  0.8553  0.1773

5.
Compound: B2OsW
Source: Alexandria
Functional: PBE-GGA
Structure: relaxed

Results
* symmetry: R-3m (166)

Lattice parameters (Å, degrees): 5.0628 5.0628 5.0628 37.95 37.95 37.95
Fractional positions:
B  0.2439  0.2439  0.2439
B  0.7561  0.7561  0.7561
Os  0.5000  0.5000  0.5000
W  0.0000  0.0000  0.0000

6.
Compound: BOsW
Source: Alexandria
Functional: PBE-GGA
Structure: relaxed

Results
* symmetry: P1 (1)

Lattice parameters (Å, degrees): 4.1572 4.1731 4.5562 76.40 76.18 88.48
Fractional positions:
B  0.0000  0.0000  0.0000
B  0.4886  0.4920  0.9976
Os  0.3349  0.3490  0.6199
Os  0.4467  0.9489  0.1853
W  0.8399  0.8465  0.6072
W  0.9420  0.4469  0.2030

7.
Compound: BOsW
Source: Alexandria
Functional: PBE-GGA
Structure: relaxed

Results
* symmetry: I4mm (107)

Lattice parameters (Å, degrees): 5.1056 5.1056 5.1056 148.43 148.43 45.26
Fractional positions:
B  0.0000  0.0000  0.0000
Os  0.6192  0.6192  0.0000
W  0.3344  0.3344  0.0000

8.
Compound: BOsW
Source: Alexandria
Functional: PBE-GGA
Structure: relaxed

Results
* symmetry: P-1 (2)

Lattice parameters (Å, degrees): 4.0837 4.2904 4.5802 74.75 75.97 88.63
Fractional positions:
B  0.1078  0.3386  0.1083
B  0.8922  0.6614  0.8917
Os  0.4524  0.6924  0.7018
Os  0.5476  0.3076  0.2982
W  0.0576  0.8052  0.2915
W  0.9424  0.1948  0.7085

9.
Compound: BOsW
Source: Alexandria
Functional: PBE-GGA
Structure: relaxed

Results
* symmetry: P1 (1)

Lattice parameters (Å, degrees): 4.1724 4.1850 4.5776 77.26 75.60 89.19
Fractional positions:
B  0.0000  0.0000  0.0000
B  0.3152  0.7911  0.7811
Os  0.8498  0.8532  0.6128
Os  0.9699  0.4399  0.1851
W  0.3559  0.3547  0.5760
W  0.4644  0.9395  0.1881

10.
Compound: BOsW
Source: Alexandria
Functional: PBE-GGA
Structure: relaxed

Results
* symmetry: Cmmm (65)

Lattice parameters (Å, degrees): 6.1384 6.1384 2.8882 90.00 90.00 136.77
Fractional positions:
B  0.2023  0.2023  0.0000
B  0.7977  0.7977  0.0000
Os  0.1744  0.8256  0.0000
Os  0.8256  0.1744  0.0000
W  0.3823  0.6177  0.5000
W  0.6177  0.3823  0.5000

11.
Compound: B4OsW
Source: Alexandria
Functional: PBE-GGA
Structure: relaxed

Results
* symmetry: P-6m2 (187)

Lattice parameters (Å, degrees): 2.9317 2.9317 7.5496 90.00 90.00 120.00
Fractional positions:
B  0.0000  0.0000  0.2011
B  0.0000  0.0000  0.7989
B  0.3333  0.6667  0.2924
B  0.3333  0.6667  0.7076
Os  0.3333  0.6667  0.0000
W  0.0000  0.0000  0.5000

12.
Compound: BOsW
Source: Alexandria
Functional: PBE-GGA
Structure: relaxed

Results
* symmetry: Cmcm (63)

Lattice parameters (Å, degrees): 4.8114 4.8114 5.4396 90.00 90.00 144.44
Fractional positions:
B  0.1001  0.8999  0.7500
B  0.8999  0.1001  0.2500
Os  0.5000  0.5000  0.0000
Os  0.5000  0.5000  0.5000
W  0.2180  0.7820  0.2500
W  0.7820  0.2180  0.7500

Number 1: uncorrected energy -10.360 eV per atom. Number 2: uncorrected energy -8.564 eV per atom. Number 3: uncorrected energy -9.020 eV per atom. Number 4: uncorrected energy -10.466 eV per atom. Number 5: uncorrected energy -9.215 eV per atom. Number 6: uncorrected energy -10.395 eV per atom. Number 7: uncorrected energy -10.282 eV per atom. Number 8: uncorrected energy -10.399 eV per atom. Number 9: uncorrected energy -10.404 eV per atom. Number 10: uncorrected energy -10.471 eV per atom. Number 11: uncorrected energy -8.771 eV per atom. Number 12: uncorrected energy -10.431 eV per atom.